1.
# La2Sm3Ga4

A geometry-optimized La2Sm3Ga4 structure (PBE, Alexandria).

## Properties
* ΔE to the lowest computed polymorph: 0 meV per atom
* energy of formation: -548 meV per atom
* DFT total energy: -4.5614 eV per atom

Cell lengths 7.714, 8.218, 8.203 Å; angles 90.00, 90.00, 106.09 degrees
Element x y z (fractional)
Ga1 0.619 0.506 0.619
Sm1 0.500 0.500 0.000
La1 0.428 0.810 0.681
Sm2 0.252 0.238 0.675
La2 0.572 0.190 0.319
Ga2 0.629 0.921 0.032
Ga3 0.881 0.494 0.119
Sm3 0.748 0.762 0.325
Ga4 0.871 0.079 0.532
Ga5 0.129 0.921 0.468
La3 0.928 0.810 0.819
La4 0.072 0.190 0.181
Sm4 0.000 0.500 0.500
Ga6 0.381 0.494 0.381
Ga7 0.371 0.079 0.968
Ga8 0.119 0.506 0.881
Sm5 0.752 0.238 0.825
Sm6 0.248 0.762 0.175



2.
# TlMo2W2

A geometry-optimized TlMo2W2 structure (PBE, Alexandria).

## Properties
* ΔE to the lowest computed polymorph: 90 meV per atom
* energy of formation: 809 meV per atom
* DFT total energy: -9.1784 eV per atom

Cell lengths 4.169, 4.169, 6.515 Å; angles 71.34, 71.34, 90.00 degrees
Element x y z (fractional)
W1 0.250 0.750 0.500
Tl1 0.000 0.000 0.000
W2 0.750 0.250 0.500
Mo1 0.381 0.381 0.237
Mo2 0.619 0.619 0.763



3.
# Sr2GeBiTe

A geometry-optimized Sr2GeBiTe structure (PBE, Alexandria).

## Properties
* DFT total energy: -3.3094 eV per atom
* formation energy (no corrections): -1.54 eV per formula unit

Cell lengths 6.126, 5.542, 6.126 Å; angles 90.00, 90.00, 90.00 degrees
Element x y z (fractional)
Ge1 0.000 0.500 0.000
Sr1 0.500 0.000 0.000
Sr2 0.000 0.000 0.500
Te1 0.000 0.000 0.000
Bi1 0.500 0.500 0.500



4.
# BaAl2Hg

A geometry-optimized BaAl2Hg structure (PBE, Alexandria).

## Properties
* energy of formation: -215 meV per atom
* DFT total energy: -2.6424 eV per atom

Cell lengths 4.600, 4.600, 6.817 Å; angles 70.35, 70.35, 59.97 degrees
Element x y z (fractional)
Ba1 0.497 0.497 0.510
Al1 0.021 0.021 0.936
Hg1 0.281 0.281 0.155
Al2 0.700 0.700 0.899



no.,volume (Å³/f.u.)
1,250
2,101
3,208
4,115